Here is a geometry-optimized Ce3Nd2N4 structure from Alexandria. Energies are from PBE-GGA.

The formation energy (no corrections) comes out at -0.698 eV per atom. As for the crystal system: orthorhombic. The value obtained for the size of the total moment is 0.245 μB/f.u. The value obtained for the offset from the most stable computed form is 565 meV per atom.

It has space group Fmmm (No. 69), with a = 7.8132 Å, b = 7.9949 Å, c = 12.1145 Å, α = 90.00°, β = 90.00° and γ = 90.00°. The distinct sites, in fractional coordinates, are Ce at (0.0000, 0.0000, 0.0000), Ce at (0.2500, 0.2500, 0.0000), Nd at (0.0000, 0.0000, 0.2795) and N at (0.0000, 0.2328, 0.1209).